Entry one
DFT (PBE-GGA) results for Hf2AgSb2 after structural relaxation.

Unit cell a=7.834 b=7.834 c=3.705 alpha=90.00 beta=90.00 gamma=90.00
Atoms (fractional coordinates):
Hf 0.142 0.358 0.000
Hf 0.358 0.858 0.000
Hf 0.642 0.142 0.000
Hf 0.858 0.642 0.000
Ag 0.000 0.000 0.500
Ag 0.500 0.500 0.500
Sb 0.154 0.654 0.500
Sb 0.346 0.154 0.500
Sb 0.654 0.846 0.500
Sb 0.846 0.346 0.500

## Properties
D(E_F)   6.360 states/eV/cell
Total magnetic moment   0.000 μB per atom
Calculated density   10347 kg/m³


Entry two
DFT (PBE-GGA) results for Hf2AgSb2 after structural relaxation.

Unit cell a=7.782 b=7.782 c=3.808 alpha=90.00 beta=90.00 gamma=90.00
Atoms (fractional coordinates):
Hf 0.142 0.358 0.000
Hf 0.358 0.858 0.000
Hf 0.642 0.142 0.000
Hf 0.858 0.642 0.000
Ag 0.000 0.000 0.000
Ag 0.500 0.500 0.000
Sb 0.156 0.656 0.500
Sb 0.344 0.156 0.500
Sb 0.656 0.844 0.500
Sb 0.844 0.344 0.500

## Properties
D(E_F)   9.472 states/eV/cell
Total magnetic moment   0.000 μB per atom
Calculated density   10201 kg/m³


Least stable = entry one